Entry 1:
MgTeMoAu2 (PBE, optimized geometry); density of states at the Fermi level = 3.98 states/eV per cell; E = -3.436 eV/atom; ρ = 8.04 Mg/m³
1.0
-3.470 1.892 -3.088
2.889 -1.477 -4.151
-2.357 -4.428 -0.065
Mo Te Au Mg
1 1 2 1
Direct
0.000 0.000 0.000
0.500 0.500 0.500
0.000 0.000 0.500
0.500 0.000 0.000
0.000 0.500 0.000


Entry 2:
MgAuN (PBE, optimized geometry); density of states at the Fermi level = 1.81 states/eV per cell; E = -4.604 eV/atom; ρ = 8.93 Mg/m³
1.0
3.126 0.052 0.010
1.567 2.704 -0.004
1.553 -0.811 10.460
Mg Au N
2 2 2
Direct
0.208 0.655 0.877
0.964 0.773 0.241
0.160 0.169 0.443
0.674 0.919 0.675
0.796 0.364 0.999
0.716 0.403 0.119


Entry 3:
Mg2AuN (PBE, optimized geometry); density of states at the Fermi level = 0.00 states/eV per cell; E = -4.086 eV/atom; ρ = 5.85 Mg/m³
1.0
-0.134 5.490 2.414
-5.955 0.162 -0.699
-3.526 1.179 4.576
Mg Au N
4 2 2
Direct
0.510 0.125 0.250
0.240 0.625 0.250
0.375 0.490 0.750
0.875 0.760 0.750
0.000 0.000 0.000
0.750 0.250 0.500
0.500 0.500 0.000
0.250 0.750 0.500


Entry 4:
MgAuN (PBE, optimized geometry); density of states at the Fermi level = 0.01 states/eV per cell; E = -4.532 eV/atom; ρ = 9.24 Mg/m³
1.0
-0.156 3.086 2.746
-3.174 1.414 -2.236
-3.143 -2.642 2.790
Mg Au N
2 2 2
Direct
0.527 0.537 0.059
0.027 0.037 0.059
0.777 0.287 0.559
0.277 0.787 0.559
0.027 0.537 0.900
0.527 0.037 0.218


Entry 5:
MgAuN (PBE, optimized geometry); density of states at the Fermi level = 1.68 states/eV per cell; E = -4.603 eV/atom; ρ = 8.07 Mg/m³
1.0
-1.988 1.510 1.638
-2.022 -2.579 -0.077
6.158 -2.970 7.488
Mg Au N
2 2 2
Direct
0.243 0.948 0.165
0.467 0.168 0.612
0.052 0.753 0.782
0.658 0.363 0.995
0.885 0.088 0.449
0.825 0.028 0.328


Entry 6:
MgAuN (PBE, optimized geometry); density of states at the Fermi level = 2.21 states/eV per cell; E = -4.511 eV/atom; ρ = 8.91 Mg/m³
1.0
-1.889 0.121 -2.129
0.992 -3.414 -1.075
-4.347 -5.018 5.494
Mg Au N
2 2 2
Direct
0.901 0.252 0.883
0.074 0.076 0.235
0.681 0.470 0.447
0.294 0.858 0.671
0.488 0.497 0.059
0.488 0.832 0.059


Entry 7:
MgAuN (PBE, optimized geometry); density of states at the Fermi level = 2.60 states/eV per cell; E = -4.532 eV/atom; ρ = 8.21 Mg/m³
1.0
2.945 0.000 0.000
0.000 3.896 0.001
0.000 -3.849 8.295
Mg Au N
2 2 2
Direct
0.916 0.508 0.253
0.416 0.846 0.594
0.416 0.221 0.971
0.916 0.526 0.774
0.416 0.282 0.369
0.416 0.963 0.369


Entry 8:
MgAuN (PBE, optimized geometry); density of states at the Fermi level = 0.06 states/eV per cell; E = -4.522 eV/atom; ρ = 8.02 Mg/m³
1.0
5.536 0.000 0.000
0.000 3.633 0.000
0.000 1.816 4.848
Mg Au N
2 2 2
Direct
0.432 0.601 0.098
0.932 0.140 0.020
0.815 0.862 0.576
0.315 0.879 0.543
0.083 0.702 0.897
0.583 0.039 0.222


Repeat the eighth record exactly.
MgAuN (PBE, optimized geometry); density of states at the Fermi level = 0.06 states/eV per cell; E = -4.522 eV/atom; ρ = 8.02 Mg/m³
1.0
5.536 0.000 0.000
0.000 3.633 0.000
0.000 1.816 4.848
Mg Au N
2 2 2
Direct
0.432 0.601 0.098
0.932 0.140 0.020
0.815 0.862 0.576
0.315 0.879 0.543
0.083 0.702 0.897
0.583 0.039 0.222